Below is crystalline RbReWO6 at its relaxed geometry, with properties calculated at the PBE+U level.

```
RbReWO6
1.0
7.3178 0.0000 0.0000
0.0000 7.3456 0.0000
-3.6589 -3.6728 5.2229
O W Rb Re
12 2 2 2
direct
0.8120 0.0783 0.2531
0.5589 0.9217 0.7469
0.1823 0.9323 0.3645
0.5589 0.3252 0.7469
0.4411 0.0783 0.2531
0.1880 0.9217 0.7469
0.8177 0.0677 0.6355
0.5472 0.2972 0.0943
0.4528 0.7028 0.9057
0.1880 0.3252 0.7469
0.4411 0.6748 0.2531
0.8120 0.6748 0.2531
0.0000 0.0000 0.5000
0.5000 0.0000 0.5000
0.8627 0.6127 0.7255
0.1373 0.3873 0.2745
0.5000 0.0000 0.0000
0.5000 0.5000 0.0000
```

* E_tot: -7.427 eV/atom
* SG: Imma (74)